No. 1
Density functional theory data (GGA-PBE) for Ba2TlCd4Ga3 after structural relaxation.

Calculated values
The formation energy comes out at -0.30 eV per atom.

Cell lengths 4.8277, 4.8277, 11.7816 Å; angles 90.00, 90.00, 90.00 degrees
Last column: nearest neighbours and their distance in Å.
Atoms (fractional coordinates):
Ba 0.0000 0.5000 0.2434  8 Cd 3.67-3.75, 6 Ga 3.68-3.87, 2 Tl 3.87
Ba 0.5000 0.0000 0.7566  8 Cd 3.67-3.75, 6 Ga 3.68-3.87, 2 Tl 3.87
Tl 0.0000 0.0000 0.5000  4 Cd 2.94
Cd 0.0000 0.0000 0.0000  4 Ga 2.84
Cd 0.0000 0.5000 0.6428  3 Ga 2.72-2.94, 2 Tl 2.94
Cd 0.5000 0.0000 0.3572  3 Ga 2.72-2.94, 2 Tl 2.94
Cd 0.5000 0.5000 0.0000  4 Ga 2.84
Ga 0.0000 0.5000 0.8737  5 Cd 2.72-2.84
Ga 0.5000 0.0000 0.1263  5 Cd 2.72-2.84
Ga 0.5000 0.5000 0.5000  4 Cd 2.94

No. 2
Density functional theory data (GGA-PBE) for Ba2Zn4Cd3Ga after structural relaxation.

Calculated values
The formation energy comes out at -0.22 eV per atom.

Cell lengths 4.7184, 4.7184, 11.3502 Å; angles 90.00, 90.00, 90.00 degrees
Last column: nearest neighbours and their distance in Å.
Atoms (fractional coordinates):
Ba 0.0000 0.5000 0.2487  6 Cd 3.62-3.68, 8 Zn 3.62-3.70, 2 Ga 3.68
Ba 0.5000 0.0000 0.7513  6 Cd 3.62-3.68, 8 Zn 3.62-3.70, 2 Ga 3.68
Zn 0.0000 0.0000 0.5000  4 Cd 2.77
Zn 0.0000 0.5000 0.8750  3 Cd 2.75-2.80, 2 Ga 2.75
Zn 0.5000 0.0000 0.1250  3 Cd 2.75-2.80, 2 Ga 2.75
Zn 0.5000 0.5000 0.5000  4 Cd 2.77
Cd 0.0000 0.0000 0.0000  4 Zn 2.75
Cd 0.0000 0.5000 0.6284  5 Zn 2.77-2.80
Cd 0.5000 0.0000 0.3716  5 Zn 2.77-2.80
Ga 0.5000 0.5000 0.0000  4 Zn 2.75

Calculated values (μB/cell) of M_tot for the records, taken in order: 0.000; 0.000.